The following is a GGA-PBE calculation of a geometry-optimized KH2Ru structure, from Alexandria.

Geometry as POSCAR:
```
KH2Ru
1.0
-0.1119 -5.4139 0.7432
5.2829 0.0829 1.3996
1.6382 -2.1592 4.6172
Ru H K
2 4 2
Cartesian
0.0000 0.0000 0.0000
2.0559 -5.1193 3.2159
2.4037 -3.6305 4.0640
3.6017 -5.7956 2.7576
1.2345 -6.3549 4.1407
0.9838 -4.6962 1.9012
2.5855 -2.6655 1.0714
4.7533 -2.3709 3.5441
```

Energy above the lowest structure with this stoichiometry in eV per atom: 0.000
Raw total energy in eV for the cell shown: -31.60
Space group: I-42d